1.
4
Lattice="-0.8306 -2.2362 -1.1726 1.8186 0.3265 -1.9108 5.1971 -4.1520 4.2367" Properties=species:S:1:pos:R:3 comment="CrMo2Rh | Alexandria | SCAN | PBEsol geometry" e_form_mev_per_atom=152 e_above_lowest_polymorph_ev_per_fu=0.06 pbc="T T T"
Cr 3.0926 -3.0308 0.5766
Mo 3.8880 -3.1062 3.1696
Mo 1.3091 -1.0458 1.0672
Rh 0.4940 -0.9548 -1.5417

2.
10
Lattice="4.1270 0.0000 0.0000 0.0000 6.6254 0.0000 0.0000 0.0000 6.6254" Properties=species:S:1:pos:R:3 comment="Cd2SnRh2 | Alexandria | SCAN | PBEsol geometry" e_form_mev_per_atom=-236 pbc="T T T"
Rh 0.0000 2.3671 5.6799
Rh 0.0000 5.6799 4.2583
Rh 0.0000 4.2583 0.9456
Rh 0.0000 0.9456 2.3671
Sn 0.0000 0.0000 0.0000
Sn 0.0000 3.3127 3.3127
Cd 2.0635 1.0367 4.3494
Cd 2.0635 4.3494 5.5887
Cd 2.0635 5.5887 2.2760
Cd 2.0635 2.2760 1.0367

3.
16
Lattice="7.3207 0.0000 0.0000 0.0000 9.6760 0.0000 0.0000 0.0000 11.2944" Properties=species:S:1:pos:R:3 comment="K3In | Alexandria | SCAN | PBEsol geometry" e_form_mev_per_atom=-19 pbc="T T T"
In 4.2757 8.5181 8.4708
In 0.6154 5.9959 2.8236
In 6.7054 3.6801 8.4708
In 3.0450 1.1579 2.8236
K 0.7473 0.2517 8.4708
K 4.4076 4.5863 2.8236
K 2.9131 5.0897 8.4708
K 6.5735 9.4243 2.8236
K 4.5688 1.7019 10.6721
K 0.9084 3.1361 0.6223
K 6.4123 6.5399 6.2695
K 2.7519 7.9741 5.0249
K 2.7519 7.9741 0.6223
K 6.4123 6.5399 10.6721
K 0.9084 3.1361 5.0249
K 4.5688 1.7019 6.2695

4.
5
Lattice="-0.5445 2.4372 -3.0919 -3.1421 -2.1497 -1.1412 -3.5927 3.4654 3.3643" Properties=species:S:1:pos:R:3 comment="YCu2NCl | Alexandria | SCAN | PBEsol geometry" e_form_raw_ev_per_atom=0.708 pbc="T T T"
Y -3.6397 1.8764 -0.4344
N -1.7963 1.7327 1.6821
Cu -1.5711 -1.0749 -0.5706
Cu -0.2723 1.2186 -1.5460
Cl 0.0000 0.0000 0.0000

5.
5
Lattice="-3.4024 0.8649 1.2673 -0.9051 -3.7310 0.1165 1.2939 -0.2012 3.6109" Properties=species:S:1:pos:R:3 comment="CrPbNO2 | Alexandria | SCAN | PBEsol geometry" e_form_raw_ev_per_atom=-0.951 pbc="T T T"
Pb -1.5068 -1.5336 2.4973
Cr 0.0000 0.0000 0.0000
O 0.6469 -0.1006 1.8055
O -0.4526 -1.8655 0.0582
N -1.7012 0.4325 0.6337

6.
4
Lattice="-1.2988 0.1589 -3.4250 2.7423 -2.1503 -1.1397 -4.8121 -6.9336 1.5032" Properties=species:S:1:pos:R:3 comment="KTe2Ru | Alexandria | SCAN | PBEsol geometry" e_form_raw_ev_per_atom=-0.075 pbc="T T T"
K -2.3080 -3.3256 0.7210
Ru -3.7543 -7.4451 -0.8841
Te -4.1732 -6.0131 1.3036
Te -0.3512 -2.5418 -1.9472

| no. | total moment (μB per atom) |
| --- | --- |
| 1 | 0.2345 |
| 2 | 0.0000 |
| 3 | 0.0001 |
| 4 | 0.0000 |
| 5 | 0.2018 |
| 6 | 0.0001 |